Entry 1:
# DyHo2 (PBE, optimized geometry)
# VASP energy (eV/cell): -27.39
# V (Å³/atom): 30.88
# Formation energy (eV/atom): 0.021
# Energy above the most stable polymorph in this dataset (meV per atom): 23.5
data_DyHo2
_chemical_formula_sum 'Dy2 Ho4'
_cell_length_a 3.518
_cell_length_b 3.518
_cell_length_c 14.969
_cell_angle_alpha 90.00
_cell_angle_beta 90.00
_cell_angle_gamma 90.00
_space_group_name_H-M_alt 'I 4/m m m'
_space_group_IT_number 139
_space_group_name_Hall '-I 4 2'
loop_
_atom_site_label
_atom_site_type_symbol
_atom_site_fract_x
_atom_site_fract_y
_atom_site_fract_z
Dy1 Dy 0.000 0.000 0.000
Ho1 Ho 0.000 0.000 0.333

Entry 2:
# SrCaLa2Te4 (PBE, optimized geometry)
# VASP energy (eV/cell): -38.93
# V (Å³/atom): 34.46
# Formation energy without anion corrections (eV/atom): -1.6030
data_SrCaLa2Te4
_chemical_formula_sum 'Sr1 Ca1 La2 Te4'
_cell_length_a 7.915
_cell_length_b 4.569
_cell_length_c 8.066
_cell_angle_alpha 90.00
_cell_angle_beta 109.09
_cell_angle_gamma 90.00
_space_group_name_H-M_alt 'P 1 2/m 1'
_space_group_IT_number 10
loop_
_space_group_symop_operation_xyz
'x,y,z'
'-x,-y,-z'
'-x,y,-z'
'x,-y,z'
loop_
_atom_site_label
_atom_site_type_symbol
_atom_site_fract_x
_atom_site_fract_y
_atom_site_fract_z
Sr1 Sr 0.000 0.000 0.000
Ca1 Ca 0.500 0.500 0.000
La1 La 0.000 0.500 0.500
La2 La 0.500 0.000 0.500
Te1 Te 0.255 0.500 0.250
Te2 Te 0.257 0.000 0.754